Density functional theory data (PBE) for SrPr2ThP4 after structural relaxation.

Structure (CIF):
```
data_SrPr2ThP4
_cell_length_a 7.318
_cell_length_b 4.231
_cell_length_c 7.323
_cell_angle_alpha 90.00
_cell_angle_beta 109.17
_cell_angle_gamma 90.00
_symmetry_space_group_name_H-M 'P 1 2/m 1'
_symmetry_Int_Tables_number 10
loop_
_symmetry_equiv_pos_as_xyz
'x,y,z'
'-x,-y,-z'
'-x,y,-z'
'x,-y,z'
loop_
_atom_site_label
_atom_site_type_symbol
_atom_site_fract_x
_atom_site_fract_y
_atom_site_fract_z
Sr1 Sr 0.000 0.000 0.000
Pr1 Pr 0.500 0.000 0.500
Pr2 Pr 0.500 0.500 0.000
Th1 Th 0.000 0.500 0.500
P1 P 0.247 0.000 0.740
P2 P 0.254 0.500 0.264
```

## Properties
V	214	Å³ per cell
DOS(E_F)	1.07	states/eV/f.u.
calculated total energy	-6.455	eV/atom
size of the total moment	0.000	μB per formula unit